The following is a DFT calculation (PBE with a Hubbard U) of a relaxed structure of Li10Sc9FeSi20O60.

Cell lengths 20.3817, 9.0301, 12.9076 Å; angles 90.00, 106.59, 90.00 degrees
Space group C2 (No. 5)
One atom of each set of equivalent atoms:
Li1 0.0000 0.0000 0.0000 [2 per cell]
Li2 0.0000 0.0054 0.5000 [2 per cell]
Li3 0.0991 0.5006 0.4015 [4 per cell]
Li4 0.1003 0.4999 0.9005 [4 per cell]
Li5 0.1998 0.0022 0.7990 [4 per cell]
Li6 0.1997 0.9992 0.3007 [4 per cell]
Sc1 0.0000 0.6429 0.0000 [2 per cell]
Sc2 0.0995 0.1448 0.4012 [4 per cell]
Sc3 0.0996 0.8578 0.8986 [4 per cell]
Sc4 0.1999 0.3584 0.3003 [4 per cell]
Sc5 0.2002 0.6432 0.7998 [4 per cell]
Fe1 0.0000 0.3567 0.5000 [2 per cell]
Si1 0.0347 0.3373 0.1680 [4 per cell]
Si2 0.0350 0.6591 0.6658 [4 per cell]
Si3 0.0650 0.1649 0.7309 [4 per cell]
Si4 0.0651 0.8347 0.2338 [4 per cell]
Si5 0.1346 0.1635 0.0677 [4 per cell]
Si6 0.1346 0.8377 0.5677 [4 per cell]
Si7 0.1640 0.3384 0.6321 [4 per cell]
Si8 0.1654 0.6645 0.1322 [4 per cell]
Si9 0.2349 0.3382 0.9685 [4 per cell]
Si10 0.2352 0.6644 0.4681 [4 per cell]
O1 0.0061 0.1711 0.6121 [4 per cell]
O2 0.0058 0.8340 0.1158 [4 per cell]
O3 0.0071 0.4987 0.1214 [4 per cell]
O4 0.0078 0.4967 0.6181 [4 per cell]
O5 0.0329 0.2482 0.8191 [4 per cell]
O6 0.0339 0.7436 0.3205 [4 per cell]
O7 0.0668 0.2520 0.0807 [4 per cell]
O8 0.0672 0.7454 0.5791 [4 per cell]
O9 0.0911 0.0014 0.7758 [4 per cell]
O10 0.0909 0.9969 0.2815 [4 per cell]
O11 0.0942 0.3359 0.2860 [4 per cell]
O12 0.0940 0.6626 0.7840 [4 per cell]
O13 0.1029 0.3368 0.5154 [4 per cell]
O14 0.1057 0.6660 0.0146 [4 per cell]
O15 0.1060 0.9991 0.5219 [4 per cell]
O16 0.1068 0.0024 0.0199 [4 per cell]
O17 0.1336 0.2527 0.7212 [4 per cell]
O18 0.1339 0.7509 0.2201 [4 per cell]
O19 0.1669 0.2498 0.9810 [4 per cell]
O20 0.1679 0.7561 0.4801 [4 per cell]
O21 0.1924 0.4998 0.6777 [4 per cell]
O22 0.1927 0.5028 0.1790 [4 per cell]
O23 0.1939 0.1643 0.1858 [4 per cell]
O24 0.1942 0.8362 0.6854 [4 per cell]
O25 0.2051 0.1653 0.4142 [4 per cell]
O26 0.2054 0.8364 0.9137 [4 per cell]
O27 0.2067 0.5032 0.4216 [4 per cell]
O28 0.2075 0.5000 0.9219 [4 per cell]
O29 0.2312 0.2483 0.6180 [4 per cell]
O30 0.2331 0.7529 0.1191 [4 per cell]

Results
**Crystal system**: monoclinic
**VASP energy**: -774.51 eV per formula unit
**DOS(E_F)**: 0.00 states/eV/f.u.
**V**: 2277 Å³/cell